Entry 1:
The following is a DFT calculation (GGA-PBE) of a geometry-optimized LiHfNbV2 structure.

Properties
VASP energy in eV per cell: -32.5

a b c (Å): 4.5731 4.4607 4.5731
angles (deg): 90.00 90.00 90.00
Last column: nearest neighbours and their distance in Å.
Element x y z (fractional)
V 0.0000 0.0000 0.5000  2 Hf 2.29
Nb 0.5000 0.5000 0.5000  8 V 3.19, 4 Li 3.23
V 0.5000 0.0000 0.0000  2 Hf 2.29
Li 0.0000 0.5000 0.0000  2 Hf 2.23
Hf 0.0000 0.0000 0.0000  2 Li 2.23, 4 V 2.29

---

Entry 2:
The following is a DFT calculation (GGA-PBE) of a geometry-optimized LiHfZrNb structure.

Properties
VASP energy in eV per cell: -29.8

a b c (Å): 4.7788 4.7788 4.7788
angles (deg): 60.00 60.00 60.00
Last column: nearest neighbours and their distance in Å.
Element x y z (fractional)
Li 0.0000 0.0000 0.0000  4 Zr 2.93, 4 Hf 2.93
Hf 0.2500 0.2500 0.2500  4 Nb 2.93, 4 Li 2.93
Zr 0.7500 0.7500 0.7500  4 Li 2.93, 4 Nb 2.93
Nb 0.5000 0.5000 0.5000  4 Hf 2.93, 4 Zr 2.93

---

Entry 3:
The following is a DFT calculation (GGA-PBE) of a geometry-optimized LiHfZrNb2 structure.

Properties
VASP energy in eV per cell: -36.1

a b c (Å): 4.5922 4.6214 4.5922
angles (deg): 90.00 90.00 90.00
Last column: nearest neighbours and their distance in Å.
Element x y z (fractional)
Hf 0.5000 0.5000 0.5000  4 Zr 3.25, 8 Nb 3.26
Nb 0.5000 0.0000 0.0000  2 Li 2.30
Nb 0.0000 0.0000 0.5000  2 Li 2.30
Li 0.0000 0.0000 0.0000  4 Nb 2.30, 2 Zr 2.31
Zr 0.0000 0.5000 0.0000  2 Li 2.31

---

Entry 4:
The following is a DFT calculation (GGA-PBE) of a geometry-optimized LiNdHfOs structure.

Properties
VASP energy in eV per cell: -28.3

a b c (Å): 4.8367 4.8367 4.8367
angles (deg): 60.00 60.00 60.00
Last column: nearest neighbours and their distance in Å.
Element x y z (fractional)
Li 0.0000 0.0000 0.0000  4 Hf 2.96, 4 Nd 2.96
Nd 0.7500 0.7500 0.7500  4 Os 2.96, 4 Li 2.96
Hf 0.2500 0.2500 0.2500  4 Li 2.96, 4 Os 2.96
Os 0.5000 0.5000 0.5000  4 Nd 2.96, 4 Hf 2.96

---

Entry 5:
The following is a DFT calculation (GGA-PBE) of a geometry-optimized LiNdHfRh structure.

Properties
VASP energy in eV per cell: -24.9

a b c (Å): 4.8573 4.8573 4.8573
angles (deg): 60.00 60.00 60.00
Last column: nearest neighbours and their distance in Å.
Element x y z (fractional)
Rh 0.7500 0.7500 0.7500  4 Hf 2.97, 4 Nd 2.97
Li 0.2500 0.2500 0.2500  4 Hf 2.97, 4 Nd 2.97
Nd 0.5000 0.5000 0.5000  4 Rh 2.97, 4 Li 2.97
Hf 0.0000 0.0000 0.0000  4 Li 2.97, 4 Rh 2.97

---

Entry 6:
The following is a DFT calculation (GGA-PBE) of a geometry-optimized LiNdHfRu structure.

Properties
VASP energy in eV per cell: -26.4

a b c (Å): 4.8424 4.8424 4.8424
angles (deg): 60.00 60.00 60.00
Last column: nearest neighbours and their distance in Å.
Element x y z (fractional)
Ru 0.7500 0.7500 0.7500  4 Hf 2.97, 4 Nd 2.97
Li 0.2500 0.2500 0.2500  4 Nd 2.97, 4 Hf 2.97
Hf 0.5000 0.5000 0.5000  4 Li 2.97, 4 Ru 2.97
Nd 0.0000 0.0000 0.0000  4 Ru 2.97, 4 Li 2.97

---

Entry 7:
The following is a DFT calculation (GGA-PBE) of a geometry-optimized LiNdHfS4 structure.

Properties
Formation energy without anion corrections in meV per atom: -1692

a b c (Å): 7.5281 7.8819 7.8819
angles (deg): 62.22 61.47 61.47
Last column: nearest neighbours and their distance in Å.
Element x y z (fractional)
Li 0.6202 0.6298 0.1298  4 S 2.45-2.70
Hf 0.5000 0.0000 0.5000  6 S 2.55-2.59
S 0.2527 0.7789 0.7157  2 Hf 2.59, 1 Li 2.70, 1 Nd 2.84
Nd 0.0000 0.0000 0.0000  6 S 2.80-2.84
S 0.7234 0.7727 0.2727  1 Li 2.45, 1 Hf 2.55
S 0.2527 0.2157 0.2789  2 Hf 2.59, 1 Li 2.70, 1 Nd 2.84
S 0.7473 0.7843 0.7211  2 Hf 2.59, 1 Li 2.70, 1 Nd 2.84
Hf 0.0000 0.0000 0.5000  6 S 2.55-2.59
Nd 0.0000 0.5000 0.5000  6 S 2.80-2.84
Li 0.3798 0.3702 0.8702  4 S 2.45-2.70
S 0.7687 0.2273 0.7273  1 Li 2.45, 1 Hf 2.55
S 0.2766 0.2273 0.7273  1 Li 2.45, 1 Hf 2.55
S 0.2313 0.7727 0.2727  1 Li 2.45, 1 Hf 2.55
S 0.7473 0.2211 0.2843  2 Hf 2.59, 1 Li 2.70, 1 Nd 2.84

---

Entry 8:
The following is a DFT calculation (GGA-PBE) of a geometry-optimized Li2NdHfSe4 structure.

Properties
Formation energy without anion corrections in meV per atom: -1432

a b c (Å): 3.9479 6.9253 6.9231
angles (deg): 109.02 90.00 90.00
Last column: nearest neighbours and their distance in Å.
Element x y z (fractional)
Se 0.0000 0.7292 0.2489  3 Li 2.71-2.88, 2 Hf 2.76, 1 Nd 2.93
Se 0.5000 0.2761 0.2606  3 Li 2.72-2.91, 1 Hf 2.74, 2 Nd 2.93
Li 0.5000 0.0000 0.5000  6 Se 2.88-2.91
Nd 0.0000 0.0000 0.0000  6 Se 2.93
Li 0.0000 0.5000 0.5000  6 Se 2.71-2.72
Hf 0.5000 0.5000 0.0000  6 Se 2.74-2.76
Se 0.5000 0.7239 0.7394  3 Li 2.72-2.91, 1 Hf 2.74, 2 Nd 2.93
Se 0.0000 0.2708 0.7511  3 Li 2.71-2.88, 2 Hf 2.76, 1 Nd 2.93

---

Entry 9:
The following is a DFT calculation (GGA-PBE) of a geometry-optimized Li3Nd2HfSe6 structure.

Properties
Formation energy without anion corrections in meV per atom: -1512

a b c (Å): 7.0326 7.0326 6.9295
angles (deg): 99.67 99.67 120.09
Last column: nearest neighbours and their distance in Å.
Element x y z (fractional)
Se 0.0863 0.3942 0.2583  1 Hf 2.75, 3 Li 2.75-3.04, 2 Nd 2.96
Li 0.1597 0.8403 0.5000  6 Se 2.72-3.04
Se 0.2256 0.2256 0.7481  3 Li 2.72-2.98, 1 Hf 2.72, 2 Nd 2.95
Se 0.3942 0.0863 0.2583  1 Hf 2.75, 3 Li 2.75-3.04, 2 Nd 2.96
Li 0.5000 0.5000 0.5000  6 Se 2.76-2.98
Nd 0.6677 0.3323 0.0000  6 Se 2.95-2.96
Nd 0.3323 0.6677 0.0000  6 Se 2.95-2.96
Li 0.8403 0.1597 0.5000  6 Se 2.72-3.04
Hf 0.0000 0.0000 0.0000  6 Se 2.72-2.75
Se 0.6058 0.9137 0.7417  1 Hf 2.75, 3 Li 2.75-3.04, 2 Nd 2.96
Se 0.7744 0.7744 0.2519  3 Li 2.72-2.98, 1 Hf 2.72, 2 Nd 2.95
Se 0.9137 0.6058 0.7417  1 Hf 2.75, 3 Li 2.75-3.04, 2 Nd 2.96

---

Entry 10:
The following is a DFT calculation (GGA-PBE) of a geometry-optimized Li3Nd3HfSe8 structure.

Properties
Formation energy without anion corrections in meV per atom: -1595

a b c (Å): 8.3049 8.3047 8.0783
angles (deg): 120.96 90.00 120.00
Last column: nearest neighbours and their distance in Å.
Element x y z (fractional)
Li 0.5000 0.5000 0.0000  6 Se 2.84-2.86
Se 0.2243 0.9894 0.2548  1 Hf 2.72, 2 Li 2.84, 2 Nd 2.97
Se 0.2461 0.4921 0.2384  3 Li 2.85-2.86, 3 Nd 2.94
Se 0.2349 0.4698 0.7452  1 Hf 2.72, 2 Li 2.84, 2 Nd 2.97
Se 0.7651 0.5302 0.2548  1 Hf 2.72, 2 Li 2.84, 2 Nd 2.97
Se 0.7539 0.5079 0.7616  3 Li 2.85-2.86, 3 Nd 2.94
Se 0.7757 0.0106 0.7452  1 Hf 2.72, 2 Li 2.84, 2 Nd 2.97
Hf 0.0000 0.0000 0.5000  6 Se 2.72
Nd 0.5000 0.0000 0.5000  6 Se 2.94-2.97
Li 0.0000 0.5000 0.0000  6 Se 2.84-2.86
Nd 0.5000 0.5000 0.5000  6 Se 2.94-2.97
Li 0.0000 0.0000 0.0000  6 Se 2.84-2.85
Nd 0.0000 0.5000 0.5000  6 Se 2.94-2.97
Se 0.7651 0.9894 0.2548  1 Hf 2.72, 2 Li 2.84, 2 Nd 2.97
Se 0.2349 0.0106 0.7452  1 Hf 2.72, 2 Li 2.84, 2 Nd 2.97

---

Entry 11:
The following is a DFT calculation (GGA-PBE) of a geometry-optimized Li4Nd3HfSe8 structure.

Properties
Formation energy without anion corrections in meV per atom: -1541

a b c (Å): 8.1788 8.0647 8.1788
angles (deg): 120.49 120.00 90.00
Last column: nearest neighbours and their distance in Å.
Element x y z (fractional)
Se 0.7559 0.7677 0.5119  3 Li 2.81, 3 Nd 2.94
Nd 0.0000 0.5000 0.5000  6 Se 2.94-2.96
Se 0.2250 0.2462 0.9855  1 Hf 2.75, 3 Li 2.79-3.00, 2 Nd 2.96
Nd 0.5000 0.5000 0.5000  6 Se 2.94-2.96
Se 0.7750 0.7538 0.0145  1 Hf 2.75, 3 Li 2.79-3.00, 2 Nd 2.96
Nd 0.5000 0.5000 0.0000  6 Se 2.94-2.96
Se 0.2395 0.7539 0.4790  1 Hf 2.75, 3 Li 2.79-3.00, 2 Nd 2.96
Se 0.2395 0.7538 0.0145  1 Hf 2.75, 3 Li 2.79-3.00, 2 Nd 2.96
Se 0.7605 0.2461 0.5210  1 Hf 2.75, 3 Li 2.79-3.00, 2 Nd 2.96
Se 0.7605 0.2462 0.9855  1 Hf 2.75, 3 Li 2.79-3.00, 2 Nd 2.96
Hf 0.0000 0.5000 0.0000  6 Se 2.75
Se 0.2441 0.2323 0.4881  3 Li 2.81, 3 Nd 2.94
Li 0.0000 0.0000 0.5000  6 Se 2.79-2.81
Li 0.0000 0.0000 0.0000  6 Se 2.79-2.81
Li 0.5000 0.0000 0.5000  6 Se 2.79-2.81
Li 0.5000 0.0000 0.0000  6 Se 3.00

---

Entry 12:
The following is a DFT calculation (GGA-PBE) of a geometry-optimized LiHfNi2 structure.

Properties
VASP energy in eV per cell: -24.5

a b c (Å): 3.1039 3.1039 5.7762
angles (deg): 90.00 90.00 90.00
Last column: nearest neighbours and their distance in Å.
Element x y z (fractional)
Li 0.5000 0.5000 0.0000  8 Ni 2.57
Ni 0.0000 0.0000 0.2325  4 Li 2.57, 4 Hf 2.68, 1 Ni 2.69
Ni 0.0000 0.0000 0.7675  4 Li 2.57, 4 Hf 2.68, 1 Ni 2.69
Hf 0.5000 0.5000 0.5000  8 Ni 2.68, 2 Li 2.89